No. 1
First-principles (PBE) data for a relaxed structure of CsNi2AgBr8, as listed in Alexandria via LeMat-Bulk.

abc: 6.8459 6.8459 10.0083
angles: 90.00 90.00 120.00
Space group P-3 (No. 147)
Inequivalent atoms, fractional coordinates:
Cs: 0.0000 0.0000 0.0000 x1
Ni: 0.3333 0.6667 0.7413 x2
Ag: 0.0000 0.0000 0.5000 x1
Br: 0.0139 0.3375 0.6711 x6
Br: 0.3333 0.6667 0.9727 x2

Values from the calculation:
Energy, eV per atom: -2.88
Magnetization, Bohr magnetons per cell: 5.96

No. 2
First-principles (PBE) data for a relaxed structure of Cs3NiAg2Br9, as listed in Alexandria via LeMat-Bulk.

abc: 7.6636 7.6636 9.3125
angles: 90.00 90.00 120.00
Space group P-3m1 (No. 164)
Inequivalent atoms, fractional coordinates:
Cs: 0.0000 0.0000 0.0000 x1
Cs: 0.3333 0.6667 0.6714 x2
Ni: 0.0000 0.0000 0.5000 x1
Ag: 0.3333 0.6667 0.1747 x2
Br: 0.0000 0.5000 0.0000 x3
Br: 0.1549 0.3098 0.3459 x6

Values from the calculation:
Energy, eV per atom: -2.84
Magnetization, Bohr magnetons per cell: 0.04

No. 3
First-principles (PBE) data for a relaxed structure of Cs3NpAg2Br8, as listed in Alexandria via LeMat-Bulk.

abc: 8.0052 8.0052 10.6503
angles: 90.00 90.00 120.00
Space group P-3m1 (No. 164)
Inequivalent atoms, fractional coordinates:
Cs: 0.0000 0.0000 0.0000 x1
Cs: 0.3333 0.6667 0.6301 x2
Np: 0.0000 0.0000 0.5000 x1
Ag: 0.3333 0.6667 0.1888 x2
Br: 0.1657 0.3314 0.3373 x6
Br: 0.3333 0.6667 0.9514 x2

Values from the calculation:
Energy, eV per atom: -3.70
Magnetization, Bohr magnetons per cell: 4.00

Energy relative to the elements, uncorrected, respectively: -0.496; -0.903; -1.226 eV/atom.